This record from the Alexandria database describes a crystal of Sc3Cd relaxed with PBEsol. The functional is SCAN.

Structure (CIF):
```
data_Sc3Cd
_chemical_formula_sum 'Sc6 Cd2'
_space_group_name_H-M_alt 'P m -3 n'
_space_group_IT_number 223
_space_group_name_Hall '-P 4n 2 3'
_cell_length_a 5.5927
_cell_length_b 5.5927
_cell_length_c 5.5927
_cell_angle_alpha 90.00
_cell_angle_beta 90.00
_cell_angle_gamma 90.00
loop_
_atom_site_label
_atom_site_fract_x
_atom_site_fract_y
_atom_site_fract_z
_atom_site_occupancy
Sc1 0.0000 0.2500 0.5000 1
Cd1 0.0000 0.0000 0.0000 1
```

As for the polymorph energy (0 for the lowest one): 0.0515 eV/atom.

This record from the Alexandria database describes a crystal of ScCd4 relaxed with PBEsol. The functional is SCAN.

Structure (CIF):
```
data_ScCd4
_chemical_formula_sum 'Sc2 Cd8'
_space_group_name_H-M_alt 'I 4/m'
_space_group_IT_number 87
_space_group_name_Hall '-I 4'
_cell_length_a 6.7208
_cell_length_b 6.7208
_cell_length_c 4.5617
_cell_angle_alpha 90.00
_cell_angle_beta 90.00
_cell_angle_gamma 90.00
loop_
_atom_site_label
_atom_site_fract_x
_atom_site_fract_y
_atom_site_fract_z
_atom_site_occupancy
Sc1 0.0000 0.0000 0.0000 1
Cd1 0.0797 0.2989 0.5000 1
```

This record from the Alexandria database describes a crystal of Sc3Cd relaxed with PBEsol. The functional is SCAN.

Structure (CIF):
```
data_Sc3Cd
_chemical_formula_sum 'Sc3 Cd1'
_space_group_name_H-M_alt 'P m m m'
_space_group_IT_number 47
_cell_length_a 3.2243
_cell_length_b 4.4366
_cell_length_c 6.2132
_cell_angle_alpha 90.00
_cell_angle_beta 90.00
_cell_angle_gamma 90.00
loop_
_space_group_symop_operation_xyz
'x,y,z'
'-x,-y,-z'
'-x,-y,z'
'x,y,-z'
'x,-y,-z'
'-x,y,z'
'-x,y,-z'
'x,-y,z'
loop_
_atom_site_label
_atom_site_fract_x
_atom_site_fract_y
_atom_site_fract_z
_atom_site_occupancy
Sc1 0.0000 0.0000 0.0000 1
Sc2 0.5000 0.5000 0.2515 1
Cd1 0.0000 0.0000 0.5000 1
```

As for the polymorph energy (0 for the lowest one): 0.0789 eV/atom.

This record from the Alexandria database describes a crystal of Sc5Cd4 relaxed with PBEsol. The functional is SCAN.

Structure (CIF):
```
data_Sc5Cd4
_chemical_formula_sum 'Sc10 Cd8'
_space_group_name_H-M_alt 'P 63/m c m'
_space_group_IT_number 193
_space_group_name_Hall '-P 6c 2'
_cell_length_a 8.5863
_cell_length_b 8.5863
_cell_length_c 6.1018
_cell_angle_alpha 90.00
_cell_angle_beta 90.00
_cell_angle_gamma 120.00
loop_
_atom_site_label
_atom_site_fract_x
_atom_site_fract_y
_atom_site_fract_z
_atom_site_occupancy
Sc1 0.0000 0.3094 0.2500 1
Sc2 0.3333 0.6667 0.0000 1
Cd1 0.0000 0.0000 0.0000 1
Cd2 0.0000 0.3600 0.7500 1
```

This record from the Alexandria database describes a crystal of Sc3Cd relaxed with PBEsol. The functional is SCAN.

Structure (CIF):
```
data_Sc3Cd
_chemical_formula_sum 'Sc6 Cd2'
_space_group_name_H-M_alt 'P 63/m m c'
_space_group_IT_number 194
_space_group_name_Hall '-P 6c 2c'
_cell_length_a 6.2975
_cell_length_b 6.2975
_cell_length_c 5.1172
_cell_angle_alpha 90.00
_cell_angle_beta 90.00
_cell_angle_gamma 120.00
loop_
_atom_site_label
_atom_site_fract_x
_atom_site_fract_y
_atom_site_fract_z
_atom_site_occupancy
Sc1 0.1694 0.3388 0.2500 1
Cd1 0.3333 0.6667 0.7500 1
```

As for the polymorph energy (0 for the lowest one): 0.0000 eV/atom.

This record from the Alexandria database describes a crystal of Sc3Cd relaxed with PBEsol. The functional is SCAN.

Structure (CIF):
```
data_Sc3Cd
_chemical_formula_sum 'Sc3 Cd1'
_space_group_name_H-M_alt 'P m -3 m'
_space_group_IT_number 221
_space_group_name_Hall '-P 4 2 3'
_cell_length_a 4.4403
_cell_length_b 4.4403
_cell_length_c 4.4403
_cell_angle_alpha 90.00
_cell_angle_beta 90.00
_cell_angle_gamma 90.00
loop_
_atom_site_label
_atom_site_fract_x
_atom_site_fract_y
_atom_site_fract_z
_atom_site_occupancy
Sc1 0.0000 0.0000 0.5000 1
Cd1 0.5000 0.5000 0.5000 1
```

As for the polymorph energy (0 for the lowest one): 0.0250 eV/atom.

| no. | VASP energy (eV/f.u.) |
| --- | --- |
| 1 | -73.81 |
| 2 | -136.62 |
| 3 | -73.70 |
| 4 | -195.69 |
| 5 | -74.02 |
| 6 | -73.92 |